Record 1
DFT (PBE) results for a relaxed KBa2LiAg crystal.

Values from the calculation:
Energy relative to the elements: 0.012 eV/atom
Raw total energy: -1.929 eV/atom
Crystal system: tetragonal

Cell and atoms, written as CIF:
```
data_KBa2LiAg
_chemical_formula_sum 'K1 Ba2 Li1 Ag1'
_space_group_name_H-M_alt 'P 4/m m m'
_space_group_IT_number 123
_space_group_name_Hall '-P 4 2'
_cell_length_a 6.6312
_cell_length_b 6.6312
_cell_length_c 5.5474
_cell_angle_alpha 90.00
_cell_angle_beta 90.00
_cell_angle_gamma 90.00
loop_
_atom_site_label
_atom_site_fract_x
_atom_site_fract_y
_atom_site_fract_z
K1 0.0000 0.0000 0.0000
Ba1 0.0000 0.5000 0.5000
Li1 0.5000 0.5000 0.0000
Ag1 0.5000 0.5000 0.5000
```

***

Record 2
DFT (PBE) results for a relaxed Cd3BiPb2 crystal.

Values from the calculation:
Energy relative to the elements: 0.049 eV/atom
Raw total energy: -2.292 eV/atom
Crystal system: monoclinic
E above lowest polymorph: 0.0 meV/atom

Cell and atoms, written as CIF:
```
data_Cd3BiPb2
_chemical_formula_sum 'Cd12 Bi4 Pb8'
_space_group_name_H-M_alt 'C 1 2/c 1'
_space_group_IT_number 15
_space_group_name_Hall '-C 2yc'
_cell_length_a 8.3131
_cell_length_b 6.9068
_cell_length_c 12.4257
_cell_angle_alpha 90.00
_cell_angle_beta 106.05
_cell_angle_gamma 90.00
loop_
_atom_site_label
_atom_site_fract_x
_atom_site_fract_y
_atom_site_fract_z
Cd1 0.0000 0.0989 0.2500
Cd2 0.2036 0.3541 0.0940
Bi1 0.0000 0.4472 0.7500
Pb1 0.1484 0.1434 0.5810
```

***

Copy entry 2 word for word.
DFT (PBE) results for a relaxed Cd3BiPb2 crystal.

Values from the calculation:
Energy relative to the elements: 0.049 eV/atom
Raw total energy: -2.292 eV/atom
Crystal system: monoclinic
E above lowest polymorph: 0.0 meV/atom

Cell and atoms, written as CIF:
```
data_Cd3BiPb2
_chemical_formula_sum 'Cd12 Bi4 Pb8'
_space_group_name_H-M_alt 'C 1 2/c 1'
_space_group_IT_number 15
_space_group_name_Hall '-C 2yc'
_cell_length_a 8.3131
_cell_length_b 6.9068
_cell_length_c 12.4257
_cell_angle_alpha 90.00
_cell_angle_beta 106.05
_cell_angle_gamma 90.00
loop_
_atom_site_label
_atom_site_fract_x
_atom_site_fract_y
_atom_site_fract_z
Cd1 0.0000 0.0989 0.2500
Cd2 0.2036 0.3541 0.0940
Bi1 0.0000 0.4472 0.7500
Pb1 0.1484 0.1434 0.5810
```

***

What is the raw total energy in the second record? -2.292 eV/atom